## FeRe2Os (PBE)

Data for a relaxed FeRe2Os crystal.

Final energy in eV/atom: -10.92
D(E_F) in states/eV/cell: 3.5
Size of the total moment in μB/cell: 2.7
Formation energy from the elements in eV/atom: 0.228

Cell: 5.084 5.084 5.084 Å, 145.23 130.28 62.10°
Element x y z (fractional)
Fe (0.000, 0.000, 0.000)
Re (0.235, 0.735, 0.500)
Re (0.765, 0.265, 0.500)
Os (0.500, 0.500, 0.000)